Entry 1:
The following is a PBE-GGA calculation of crystalline VPt7Rh4 at its relaxed geometry, from Alexandria.

The structure in CIF format:
```
data_VPt7Rh4
_cell_length_a 10.4253
_cell_length_b 4.6325
_cell_length_c 9.4202
_cell_angle_alpha 90.00
_cell_angle_beta 119.19
_cell_angle_gamma 90.00
_symmetry_space_group_name_H-M 'C 1 2/m 1'
_symmetry_Int_Tables_number 12
loop_
_symmetry_equiv_pos_as_xyz
'x,y,z'
'-x,-y,-z'
'-x,y,-z'
'x,-y,z'
'x+1/2,y+1/2,z'
'-x+1/2,-y+1/2,-z'
'-x+1/2,y+1/2,-z'
'x+1/2,-y+1/2,z'
loop_
_atom_site_label
_atom_site_fract_x
_atom_site_fract_y
_atom_site_fract_z
V1 0.0000 0.0000 0.0000
Pt1 0.0000 0.5000 0.0000
Pt2 0.0784 0.0000 0.3255
Pt3 0.1352 0.5000 0.5276
Pt4 0.1997 0.0000 0.9286
Rh1 0.0811 0.5000 0.7694
Rh2 0.2253 0.5000 0.3098
```

Values from the calculation:
As for the total moment: 0.000 μB/atom. Its calculated volume is 16.5 Å³/atom. Its energy is -6.51 eV/atom.


Entry 2:
The following is a PBE-GGA calculation of crystalline LaAlNi at its relaxed geometry, from Alexandria.

The structure in CIF format:
```
data_LaAlNi
_cell_length_a 3.1716
_cell_length_b 3.1716
_cell_length_c 11.6161
_cell_angle_alpha 90.00
_cell_angle_beta 90.00
_cell_angle_gamma 90.00
_symmetry_space_group_name_H-M 'I 4 m m'
_symmetry_Int_Tables_number 107
_symmetry_space_group_name_Hall 'I 4 -2'
loop_
_atom_site_label
_atom_site_fract_x
_atom_site_fract_y
_atom_site_fract_z
La1 0.0000 0.0000 0.0000
Al1 0.0000 0.0000 0.7204
Ni1 0.0000 0.0000 0.3154
```

Values from the calculation:
As for the total moment: 0.000 μB/atom. Its calculated volume is 19.5 Å³/atom. Its energy is -5.14 eV/atom.


Entry 3:
The following is a PBE-GGA calculation of crystalline CaAlMo2 at its relaxed geometry, from Alexandria.

The structure in CIF format:
```
data_CaAlMo2
_cell_length_a 5.6794
_cell_length_b 9.5848
_cell_length_c 2.7290
_cell_angle_alpha 90.00
_cell_angle_beta 105.66
_cell_angle_gamma 90.00
_symmetry_space_group_name_H-M 'C 1 2/m 1'
_symmetry_Int_Tables_number 12
loop_
_symmetry_equiv_pos_as_xyz
'x,y,z'
'-x,-y,-z'
'-x,y,-z'
'x,-y,z'
'x+1/2,y+1/2,z'
'-x+1/2,-y+1/2,-z'
'-x+1/2,y+1/2,-z'
'x+1/2,-y+1/2,z'
loop_
_atom_site_label
_atom_site_fract_x
_atom_site_fract_y
_atom_site_fract_z
Ca1 0.0000 0.0000 0.0000
Al1 0.0000 0.5000 0.0000
Mo1 0.2500 0.2500 0.5000
```

Values from the calculation:
As for the total moment: 0.000 μB/atom. Its calculated volume is 17.9 Å³/atom. Its energy is -6.38 eV/atom.


Entry 4:
The following is a PBE-GGA calculation of crystalline Cs3Pa3AgS8 at its relaxed geometry, from Alexandria.

The structure in CIF format:
```
data_Cs3Pa3AgS8
_cell_length_a 14.0840
_cell_length_b 8.1400
_cell_length_c 9.4106
_cell_angle_alpha 90.00
_cell_angle_beta 119.91
_cell_angle_gamma 90.00
_symmetry_space_group_name_H-M 'C 1 2/m 1'
_symmetry_Int_Tables_number 12
loop_
_symmetry_equiv_pos_as_xyz
'x,y,z'
'-x,-y,-z'
'-x,y,-z'
'x,-y,z'
'x+1/2,y+1/2,z'
'-x+1/2,-y+1/2,-z'
'-x+1/2,y+1/2,-z'
'x+1/2,-y+1/2,z'
loop_
_atom_site_label
_atom_site_fract_x
_atom_site_fract_y
_atom_site_fract_z
Cs1 0.0000 0.0000 0.0000
Cs2 0.2500 0.2500 0.0000
Pa1 0.0000 0.5000 0.5000
Pa2 0.2500 0.2500 0.5000
Ag1 0.0000 0.0000 0.5000
S1 0.0280 0.2652 0.3189
S2 0.2276 0.5000 0.6825
S3 0.2366 0.0000 0.6806
```

Values from the calculation:
As for the total moment: 0.201 μB/atom. Its calculated volume is 31.2 Å³/atom. The value obtained for the raw formation energy is -1.3559 eV/atom. Its energy is -5.82 eV/atom.


Entry 5:
The following is a PBE-GGA calculation of crystalline Pm2GdAg at its relaxed geometry, from Alexandria.

The structure in CIF format:
```
data_Pm2GdAg
_cell_length_a 5.5724
_cell_length_b 5.5724
_cell_length_c 3.7275
_cell_angle_alpha 90.00
_cell_angle_beta 90.00
_cell_angle_gamma 90.00
_symmetry_space_group_name_H-M 'P 4/m m m'
_symmetry_Int_Tables_number 123
_symmetry_space_group_name_Hall '-P 4 2'
loop_
_atom_site_label
_atom_site_fract_x
_atom_site_fract_y
_atom_site_fract_z
Pm1 0.0000 0.5000 0.0000
Gd1 0.0000 0.0000 0.5000
Ag1 0.5000 0.5000 0.5000
```

Values from the calculation:
As for the total moment: 1.796 μB/atom. Its calculated volume is 28.9 Å³/atom. Its energy is -6.63 eV/atom.


Entry 6:
The following is a PBE-GGA calculation of crystalline YCl2 at its relaxed geometry, from Alexandria.

The structure in CIF format:
```
data_YCl2
_cell_length_a 4.9295
_cell_length_b 4.9295
_cell_length_c 3.2635
_cell_angle_alpha 90.00
_cell_angle_beta 90.00
_cell_angle_gamma 120.00
_symmetry_space_group_name_H-M 'P 6/m m m'
_symmetry_Int_Tables_number 191
_symmetry_space_group_name_Hall '-P 6 2'
loop_
_atom_site_label
_atom_site_fract_x
_atom_site_fract_y
_atom_site_fract_z
Y1 0.0000 0.0000 0.0000
Cl1 0.3333 0.6667 0.5000
```

Values from the calculation:
As for the total moment: 0.063 μB/atom. Its calculated volume is 22.9 Å³/atom. The value obtained for the raw formation energy is -1.2022 eV/atom. Its energy is -4.59 eV/atom.